Material: MgMnAs2O7
Method: DFT, PBE with a Hubbard U
State: optimized geometry

Structure (POSCAR):
```
MgMnAs2O7
1.0
-3.7067 5.4640 -3.2489
-7.4218 -4.7503 0.4788
-0.2173 1.2525 9.0578
O Mg Mn As
28 4 4 8
Direct
0.3654 0.8076 0.6178 O
0.6451 0.0876 0.6510 O
0.3350 0.5907 0.3768 O
0.8549 0.5876 0.8490 O
0.3158 0.2534 0.4606 O
0.8158 0.2466 0.9606 O
0.3549 0.9124 0.3490 O
0.4101 0.5974 0.8739 O
0.4373 0.2528 0.7886 O
0.1650 0.0907 0.1232 O
0.1842 0.7534 0.0394 O
0.9101 0.9026 0.3739 O
0.9373 0.2472 0.2886 O
0.3983 0.9185 0.8928 O
0.8983 0.5815 0.3928 O
0.8654 0.6924 0.1178 O
0.6650 0.4093 0.6232 O
0.1017 0.4185 0.6072 O
0.6842 0.7466 0.5394 O
0.1346 0.3076 0.8822 O
0.6017 0.0815 0.1072 O
0.5899 0.4026 0.1261 O
0.1451 0.4124 0.1510 O
0.0899 0.0974 0.6261 O
0.8350 0.9093 0.8768 O
0.0627 0.7528 0.7114 O
0.6346 0.1924 0.3822 O
0.5627 0.7472 0.2114 O
0.8806 0.5634 0.6222 Mg
0.1194 0.4366 0.3778 Mg
0.6194 0.0634 0.8778 Mg
0.3806 0.9366 0.1222 Mg
0.1333 0.0564 0.3745 Mn
0.3667 0.5564 0.1255 Mn
0.8667 0.9436 0.6255 Mn
0.6333 0.4436 0.8745 Mn
0.8082 0.7389 0.2857 As
0.9395 0.7451 0.9593 As
0.0605 0.2549 0.0407 As
0.5605 0.2451 0.5407 As
0.6918 0.2389 0.2143 As
0.4395 0.7549 0.4593 As
0.1918 0.2611 0.7143 As
0.3082 0.7611 0.7857 As
```

Values from the calculation:
SG = No. 14
Total energy = -6.478 eV/atom
N(E_F) = 0.00 states/eV per cell